Entry 1:
Computed, not measured: a relaxed structure of LaY2In2 at the PBE level of DFT.

```
data_LaY2In2
_cell_length_a 4.774
_cell_length_b 4.774
_cell_length_c 13.818
_cell_angle_alpha 90.00
_cell_angle_beta 90.00
_cell_angle_gamma 90.00
_space_group_name_H-M_alt 'I 4/m m m'
_space_group_IT_number 139
_space_group_name_Hall '-I 4 2'
loop_
_atom_site_label
_atom_site_type_symbol
_atom_site_fract_x
_atom_site_fract_y
_atom_site_fract_z
La1 La 0.000 0.000 0.000
Y1 Y 0.000 0.500 0.250
In1 In 0.000 0.000 0.400
```

Computed properties:
Relative energy among the computed polymorphs (eV/f.u.): 0.34
Volume (Å³ per cell): 315.0

=====

Entry 2:
Computed, not measured: a relaxed structure of CsAlCd2S4 at the PBE level of DFT.

```
data_CsAlCd2S4
_cell_length_a 6.756
_cell_length_b 6.765
_cell_length_c 9.372
_cell_angle_alpha 90.00
_cell_angle_beta 90.00
_cell_angle_gamma 90.00
_space_group_name_H-M_alt 'I 2 2 2'
_space_group_IT_number 23
_space_group_name_Hall 'I 2 2'
loop_
_atom_site_label
_atom_site_type_symbol
_atom_site_fract_x
_atom_site_fract_y
_atom_site_fract_z
Cs1 Cs 0.000 0.000 0.000
Al1 Al 0.000 0.000 0.500
Cd1 Cd 0.000 0.500 0.249
S1 S 0.190 0.190 0.645
```

Computed properties:
Raw formation energy (eV per atom): -0.852
Volume (Å³ per cell): 428.4

=====

Entry 3:
Computed, not measured: a relaxed structure of MgAlTe at the PBE level of DFT.

```
data_MgAlTe
_cell_length_a 6.962
_cell_length_b 6.962
_cell_length_c 6.962
_cell_angle_alpha 90.00
_cell_angle_beta 90.00
_cell_angle_gamma 90.00
_space_group_name_H-M_alt 'F -4 3 m'
_space_group_IT_number 216
_space_group_name_Hall 'F -4 2 3'
loop_
_atom_site_label
_atom_site_type_symbol
_atom_site_fract_x
_atom_site_fract_y
_atom_site_fract_z
Mg1 Mg 0.000 0.000 0.000
Al1 Al 0.250 0.250 0.250
Te1 Te 0.250 0.250 0.750
```

Computed properties:
Relative energy among the computed polymorphs (eV/f.u.): 0.97
Raw formation energy (eV per atom): 0.064
Volume (Å³ per cell): 337.4

=====

Entry 4:
Computed, not measured: a relaxed structure of YMg2W at the PBE level of DFT.

```
data_YMg2W
_cell_length_a 3.157
_cell_length_b 5.086
_cell_length_c 5.365
_cell_angle_alpha 90.00
_cell_angle_beta 90.00
_cell_angle_gamma 90.00
_space_group_name_H-M_alt 'P m m m'
_space_group_IT_number 47
_space_group_name_Hall '-P 2 2'
loop_
_atom_site_label
_atom_site_type_symbol
_atom_site_fract_x
_atom_site_fract_y
_atom_site_fract_z
Y1 Y 0.000 0.000 0.000
Mg1 Mg 0.000 0.500 0.500
Mg2 Mg 0.500 0.000 0.500
W1 W 0.500 0.500 0.000
```

Computed properties:
Relative energy among the computed polymorphs (eV/f.u.): 0.70
Volume (Å³ per cell): 86.1

=====

Entry 5:
Computed, not measured: a relaxed structure of CrB2Mo4 at the PBE level of DFT.

```
data_CrB2Mo4
_cell_length_a 4.1274
_cell_length_b 4.1274
_cell_length_c 18.8850
_cell_angle_alpha 90.00
_cell_angle_beta 90.00
_cell_angle_gamma 120.00
_space_group_name_H-M_alt 'R -3 m'
_space_group_IT_number 166
_space_group_name_Hall '-R 3 2"'
loop_
_atom_site_label
_atom_site_type_symbol
_atom_site_fract_x
_atom_site_fract_y
_atom_site_fract_z
Cr1 Cr 0.0000 0.0000 0.0000
B1 B 0.0000 0.0000 0.1077
Mo1 Mo 0.0000 0.0000 0.2227
Mo2 Mo 0.0000 0.0000 0.3846
```

Computed properties:
Volume (Å³ per cell): 278.6
Electronic total energy (eV per cell): -194.45

=====

Entry 6:
Computed, not measured: a relaxed structure of YLuInIr at the PBE level of DFT.

```
data_YLuInIr
_cell_length_a 7.110
_cell_length_b 7.110
_cell_length_c 7.110
_cell_angle_alpha 90.00
_cell_angle_beta 90.00
_cell_angle_gamma 90.00
_space_group_name_H-M_alt 'F -4 3 m'
_space_group_IT_number 216
_space_group_name_Hall 'F -4 2 3'
loop_
_atom_site_label
_atom_site_type_symbol
_atom_site_fract_x
_atom_site_fract_y
_atom_site_fract_z
Y1 Y 0.000 0.000 0.000
Lu1 Lu 0.000 0.000 0.500
In1 In 0.250 0.250 0.750
Ir1 Ir 0.250 0.250 0.250
```

Computed properties:
Volume (Å³ per cell): 359.4
Electronic total energy (eV per cell): -99.66

=====

Number 1: M_tot 0.0 μB per formula unit. Number 2: M_tot 0.0 μB per formula unit. Number 3: M_tot 0.0 μB per formula unit. Number 4: M_tot 0.0 μB per formula unit. Number 5: M_tot 0.0 μB per formula unit. Number 6: M_tot 0.0 μB per formula unit.